No. 1
Entry from the Alexandria database: a relaxed structure of VB2W2 (PBE).

Properties
DFT formation energy = -0.39 eV per atom
M_tot = 0.00 μB/f.u.
Mass density = 13.1 g cm⁻³
Energy = -10.07 eV/atom

Cell lengths 9.792, 3.108, 8.363 Å; angles 90.00, 118.62, 90.00 degrees
Space group C2/m (No. 12)
Asymmetric unit:
1 V 0.223 0.000 0.374
2 B 0.002 0.000 0.894
3 B 0.102 0.000 0.547
4 W 0.026 0.500 0.700
5 W 0.176 0.500 0.097

No. 2
Entry from the Alexandria database: a relaxed structure of Ca2PrAl (PBE).

Properties
DFT formation energy = -0.05 eV per atom
M_tot = 0.00 μB/f.u.
Energy relative to the lowest polymorph listed for this composition = 13 kJ/mol of formula units
Mass density = 3.2 g cm⁻³
Energy = -3.18 eV/atom

Cell lengths 3.554, 3.554, 10.092 Å; angles 90.00, 90.00, 90.00 degrees
Space group P4/mmm (No. 123)
Asymmetric unit:
1 Ca 0.000 0.000 0.203
2 Pr 0.500 0.500 0.500
3 Al 0.500 0.500 0.000

No. 3
Entry from the Alexandria database: a relaxed structure of K2SF5 (PBE).

Properties
Formation energy (no corrections) = -1.996 eV per atom
M_tot = 1.00 μB/f.u.
Mass density = 2.4 g cm⁻³
Energy = -3.96 eV/atom

Cell lengths 5.881, 5.881, 8.256 Å; angles 90.00, 90.00, 90.00 degrees
Space group I4mm (No. 107)
Asymmetric unit:
1 K 0.000 0.500 0.000
2 S 0.000 0.000 0.238
3 F 0.000 0.000 0.504
4 F 0.222 0.222 0.247

No. 4
Entry from the Alexandria database: a relaxed structure of Y5HoBi4 (PBE).

Properties
DFT formation energy = -0.51 eV per atom
M_tot = 0.00 μB/f.u.
Mass density = 7.0 g cm⁻³
Energy = -5.75 eV/atom

Cell lengths 18.967, 4.398, 8.512 Å; angles 90.00, 106.14, 90.00 degrees
Space group C2/m (No. 12)
Asymmetric unit:
1 Y 0.000 0.000 0.000
2 Y 0.163 0.500 0.312
3 Y 0.182 0.500 0.852
4 Ho 0.000 0.000 0.500
5 Bi 0.011 0.500 0.759
6 Bi 0.169 0.000 0.581